{
  "formula": "TaMn2Pd5",
  "functional": "GGA-PBE",
  "state": "optimized geometry",
  "dft_energy_ev_per_fu": -58.3,
  "volume_a3_per_atom": 15.3,
  "magnetic_moment_mub_per_atom": 0.928,
  "ef_kcal_per_mol_atoms": -6.3,
  "lattice": [[5.577, 0.000, 0.000], [0.000, 11.136, 0.000], [0.000, 0.000, 3.949]],
  "species": ["Ta", "Ta", "Mn", "Mn", "Mn", "Mn", "Pd", "Pd", "Pd", "Pd", "Pd", "Pd", "Pd", "Pd", "Pd", "Pd"],
  "fractional_positions": [[0.000, 0.000, 0.000], [0.500, 0.500, 0.000], [0.224, 0.368, 0.500], [0.276, 0.868, 0.500], [0.724, 0.132, 0.500], [0.776, 0.632, 0.500], [0.000, 0.500, 0.000], [0.021, 0.757, 0.000], [0.232, 0.118, 0.500], [0.268, 0.618, 0.500], [0.479, 0.257, 0.000], [0.500, 0.000, 0.000], [0.521, 0.743, 0.000], [0.732, 0.382, 0.500], [0.768, 0.882, 0.500], [0.979, 0.243, 0.000]]
}


{
  "formula": "TaMnVPd2",
  "functional": "GGA-PBE",
  "state": "optimized geometry",
  "dft_energy_ev_per_fu": -33.2,
  "volume_a3_per_atom": 20.2,
  "magnetic_moment_mub_per_atom": 0.067,
  "ef_kcal_per_mol_atoms": 33.7,
  "lattice": [[4.812, 0.000, 0.000], [0.000, 4.812, 0.000], [0.000, 0.000, 4.353]],
  "species": ["Ta", "Mn", "V", "Pd", "Pd"],
  "fractional_positions": [[0.000, 0.000, 0.000], [0.000, 0.000, 0.500], [0.500, 0.500, 0.500], [0.000, 0.500, 0.000], [0.500, 0.000, 0.000]]
}